Computed, not measured: a relaxed structure of SiPOs2 at the PBE-GGA level of DFT.

Computed properties:
Fermi-level density of states	2.2	states/eV per cell
ΔE_f (raw)	321	meV per atom
relative energy among the computed polymorphs	1.940	eV per formula unit
DFT total energy	-8.002	eV per atom

Cell lengths 2.923, 3.917, 4.980 Å; angles 90.00, 92.40, 90.00 degrees
Space group P2/m (No. 10)
Asymmetric unit:
Si 0.000 0.000 0.000 (multiplicity 1)
P 0.500 0.000 0.500 (multiplicity 1)
Os 0.290 0.500 0.248 (multiplicity 2)